The following is a PBE calculation of crystalline Dy7Rh2Au2 at its relaxed geometry, from Alexandria.

Output
The calculation puts the total magnetization at 0.00 μB/atom. The calculation puts the energy of formation at -0.664 eV per atom. The distance to the lowest polymorph of the same formula comes out at 0.0000 eV per atom. The symmetry is Imm2. As for the crystal system: orthorhombic. The total energy is -60.78 eV per formula unit. The density of states at the Fermi level comes out at 13.228 states/eV/cell.

abc: 9.303 9.303 9.303
angles: 156.42 66.96 118.35
Fractional positions:
Dy 0.000 0.000 0.000
Dy 0.070 0.384 0.685
Dy 0.102 0.741 0.360
Dy 0.381 0.741 0.640
Dy 0.465 0.584 0.881
Dy 0.699 0.384 0.315
Dy 0.704 0.584 0.119
Rh 0.329 0.085 0.244
Rh 0.842 0.085 0.756
Au 0.330 0.330 0.000
Au 0.749 0.249 0.500